1.
DFT (PBE) results for a relaxed PrDyTl2Se4 crystal.

a b c (Å): 7.4050 4.2721 8.1439
angles (deg): 90.00 107.61 90.00
Space group P2/m (No. 10)
One atom of each set of equivalent atoms:
Pr: 0.0000 0.0000 0.0000 [1 per cell]
Dy: 0.5000 0.5000 0.0000 [1 per cell]
Tl: 0.0000 0.5000 0.5000 [1 per cell]
Tl: 0.5000 0.0000 0.5000 [1 per cell]
Se: 0.2459 0.5000 0.2102 [2 per cell]
Se: 0.2735 0.0000 0.7940 [2 per cell]

ΔE_f (raw), eV/atom: -1.377
Raw total energy, eV per atom: -4.883

=====

2.
DFT (PBE) results for a relaxed Cr4Ir crystal.

a b c (Å): 5.4795 5.4795 5.4795
angles (deg): 90.00 90.00 90.00
Space group Im-3m (No. 229)
One atom of each set of equivalent atoms:
Cr: 0.2500 0.2500 0.2500 [8 per cell]
Ir: 0.0000 0.0000 0.0000 [2 per cell]

Raw total energy, eV per atom: -8.122
N(E_F), states/eV/atom: 1.713
Energy of formation from the pure elements, eV/atom: 1.35
Energy relative to the lowest polymorph listed for this composition, meV/atom: 1358

=====

3.
DFT (PBE) results for a relaxed YAgMo2N crystal.

a b c (Å): 5.1029 5.1029 3.8364
angles (deg): 90.00 90.00 90.00
Space group P4/mmm (No. 123)
One atom of each set of equivalent atoms:
Y: 0.0000 0.0000 0.0000 [1 per cell]
Ag: 0.5000 0.5000 0.5000 [1 per cell]
Mo: 0.0000 0.5000 0.5000 [2 per cell]
N: 0.5000 0.5000 0.0000 [1 per cell]

ΔE_f (raw), eV/atom: 1.974
Raw total energy, eV per atom: -5.887
N(E_F), states/eV/atom: 1.059

=====

4.
DFT (PBE) results for a relaxed TeOsRu2 crystal.

a b c (Å): 2.9427 2.9427 7.4553
angles (deg): 90.00 90.00 90.00
Space group P4/mmm (No. 123)
One atom of each set of equivalent atoms:
Te: 0.0000 0.0000 0.0000 [1 per cell]
Os: 0.0000 0.0000 0.5000 [1 per cell]
Ru: 0.5000 0.5000 0.2697 [2 per cell]

ΔE_f (raw), eV/atom: 0.474
Raw total energy, eV per atom: -7.757
N(E_F), states/eV/atom: 1.234

=====

5.
DFT (PBE) results for a relaxed Sr2MgCuH6 crystal.

a b c (Å): 7.8125 7.7935 5.5254
angles (deg): 90.00 134.83 90.00
Space group C2/m (No. 12)
One atom of each set of equivalent atoms:
Sr: 0.0000 0.2500 0.0000 [4 per cell]
Mg: 0.0000 0.0000 0.5000 [2 per cell]
Cu: 0.0000 0.5000 0.5000 [2 per cell]
H: 0.0000 0.2612 0.5000 [4 per cell]
H: 0.2392 0.5000 0.4999 [4 per cell]
H: 0.2397 0.5000 0.9798 [4 per cell]

Raw total energy, eV per atom: -3.162
N(E_F), states/eV/atom: 0.242

=====

6.
DFT (PBE) results for a relaxed LiTlSbSe2 crystal.

a b c (Å): 8.5140 7.6674 4.0062
angles (deg): 90.00 90.00 90.00
Space group Pmma (No. 51)
One atom of each set of equivalent atoms:
Li: 0.0000 0.0000 0.0000 [2 per cell]
Tl: 0.2500 0.5000 0.0015 [2 per cell]
Sb: 0.2500 0.0000 0.5001 [2 per cell]
Se: 0.0000 0.2500 0.5000 [4 per cell]

ΔE_f (raw), eV/atom: -0.450
Raw total energy, eV per atom: -3.524
N(E_F), states/eV/atom: 0.227

=====

7.
DFT (PBE) results for a relaxed NaIn6Ir3 crystal.

a b c (Å): 9.2589 4.4630 10.6200
angles (deg): 90.00 93.93 90.00
Space group P2_1/m (No. 11)
One atom of each set of equivalent atoms:
Na: 0.0916 0.2500 0.2500 [2 per cell]
In: 0.0742 0.2500 0.9157 [2 per cell]
In: 0.1177 0.7500 0.5008 [2 per cell]
In: 0.2724 0.7500 0.7792 [2 per cell]
In: 0.3207 0.7500 0.2709 [2 per cell]
In: 0.3849 0.2500 0.5622 [2 per cell]
In: 0.3974 0.2500 0.0672 [2 per cell]
Ir: 0.1252 0.2500 0.6608 [2 per cell]
Ir: 0.2149 0.7500 0.0259 [2 per cell]
Ir: 0.4718 0.2500 0.3243 [2 per cell]

Raw total energy, eV per atom: -4.528
N(E_F), states/eV/atom: 0.366
Energy of formation from the pure elements, eV/atom: -0.09

=====

8.
DFT (PBE) results for a relaxed PmTlBi crystal.

a b c (Å): 4.2017 4.2017 10.4145
angles (deg): 90.00 90.00 90.00
Space group I4mm (No. 107)
One atom of each set of equivalent atoms:
Pm: 0.0000 0.0000 0.0000 [2 per cell]
Tl: 0.0000 0.0000 0.3246 [2 per cell]
Bi: 0.0000 0.0000 0.6582 [2 per cell]

Raw total energy, eV per atom: -3.995
N(E_F), states/eV/atom: 1.055
Energy of formation from the pure elements, eV/atom: -0.33
Energy relative to the lowest polymorph listed for this composition, meV/atom: 0

=====

9.
DFT (PBE) results for a relaxed Pm2NiGe crystal.

a b c (Å): 7.1681 7.1681 7.1681
angles (deg): 90.00 90.00 90.00
Space group Fm-3m (No. 225)
One atom of each set of equivalent atoms:
Pm: 0.2500 0.2500 0.2500 [8 per cell]
Ni: 0.0000 0.0000 0.0000 [4 per cell]
Ge: 0.0000 0.0000 0.5000 [4 per cell]

Raw total energy, eV per atom: -5.434
N(E_F), states/eV/atom: 0.268
Energy of formation from the pure elements, eV/atom: -0.46

=====

10.
DFT (PBE) results for a relaxed LaDyTl2 crystal.

a b c (Å): 3.7138 3.7138 31.0984
angles (deg): 90.00 90.00 120.00
Space group R3m (No. 160, hexagonal axes)
One atom of each set of equivalent atoms:
La: 0.0000 0.0000 0.0000 [3 per cell]
Dy: 0.0000 0.0000 0.8306 [3 per cell]
Tl: 0.0000 0.0000 0.4188 [3 per cell]
Tl: 0.0000 0.0000 0.5776 [3 per cell]

Raw total energy, eV per atom: -3.789
N(E_F), states/eV/atom: 1.142
Energy of formation from the pure elements, eV/atom: -0.22

=====

11.
DFT (PBE) results for a relaxed Ca2RuBr crystal.

a b c (Å): 4.1600 4.1600 11.4432
angles (deg): 90.00 90.00 90.00
Space group I-4m2 (No. 119)
One atom of each set of equivalent atoms:
Ca: 0.0000 0.0000 0.0000 [2 per cell]
Ca: 0.0000 0.5000 0.2500 [2 per cell]
Ru: 0.0000 0.5000 0.7500 [2 per cell]
Br: 0.0000 0.0000 0.5000 [2 per cell]

ΔE_f (raw), eV/atom: -0.037
Raw total energy, eV per atom: -3.775
N(E_F), states/eV/atom: 1.453
Energy relative to the lowest polymorph listed for this composition, meV/atom: 472

=====

12.
DFT (PBE) results for a relaxed Ta2Nb6Tc crystal.

a b c (Å): 7.2416 14.2065 3.1964
angles (deg): 90.00 99.68 90.00
Space group C2/m (No. 12)
One atom of each set of equivalent atoms:
Ta: 0.0000 0.1565 0.0000 [4 per cell]
Nb: 0.1653 0.3355 0.3319 [8 per cell]
Nb: 0.1733 0.5000 0.8298 [4 per cell]
Tc: 0.0000 0.0000 0.5000 [2 per cell]

Raw total energy, eV per atom: -10.503
N(E_F), states/eV/atom: 1.077
Energy of formation from the pure elements, eV/atom: 0.00
Energy relative to the lowest polymorph listed for this composition, meV/atom: 0